Record 1
{"formula": "Ho3Er5", "functional": "PBE-GGA", "state": "optimized geometry", "dft_energy_ev_per_atom": -4.57, "formation_enthalpy_0k_kj_per_mol_atoms": 0.1, "vol_a3_per_cell": 246, "crystal_system": "hexagonal", "lattice": [[7.1448, 0.0000, 0.0000], [-3.5724, 6.1876, 0.0000], [0.0000, 0.0000, 5.5569]], "species": ["Er", "Er", "Er", "Er", "Er", "Ho", "Ho", "Ho"], "fractional_positions": [[0.0000, 0.0000, 0.0000], [0.3340, 0.1670, 0.5000], [0.8330, 0.1670, 0.5000], [0.8330, 0.6660, 0.5000], [0.3333, 0.6667, 0.5000], [0.5003, 0.0006, 0.0000], [0.9994, 0.4997, 0.0000], [0.5003, 0.4997, 0.0000]]}

=====

Record 2
{"formula": "HoErI6", "functional": "PBE-GGA", "state": "optimized geometry", "dft_energy_ev_per_atom": -3.70, "vol_a3_per_cell": 359, "crystal_system": "monoclinic", "lattice": [[1.3251, 1.8242, 7.2724], [-5.6532, 3.3784, -3.8209], [-3.0900, -6.8533, 0.9836]], "species": ["Er", "Ho", "I", "I", "I", "I", "I", "I"], "fractional_positions": [[0.1661, 0.8339, 0.0000], [0.8339, 0.1661, 0.0000], [0.9285, 0.5779, 0.2415], [0.5775, 0.9283, 0.2415], [0.2257, 0.2255, 0.2468], [0.7745, 0.7743, 0.7532], [0.0717, 0.4225, 0.7585], [0.4221, 0.0715, 0.7585]]}

=====

Record 3
{"formula": "Ho2Er2I5N", "functional": "PBE-GGA", "state": "optimized geometry", "dft_energy_ev_per_atom": -4.66, "vol_a3_per_cell": 305, "crystal_system": "monoclinic", "lattice": [[-1.7110, 4.4540, 8.4062], [-5.3059, 3.4992, 7.2824], [1.3688, -8.0231, 2.4381]], "species": ["Er", "Er", "Ho", "Ho", "I", "I", "I", "I", "I", "N"], "fractional_positions": [[0.9994, 0.9994, 0.1861], [0.0006, 0.0006, 0.8139], [0.6248, 0.6248, 0.0615], [0.3752, 0.3752, 0.9385], [0.8347, 0.8347, 0.1794], [0.1619, 0.1619, 0.3396], [0.5000, 0.5000, 0.5000], [0.8381, 0.8381, 0.6604], [0.1653, 0.1653, 0.8206], [0.5000, 0.5000, 0.0000]]}

=====

Record 4
{"formula": "HoErI2N", "functional": "PBE-GGA", "state": "optimized geometry", "dft_energy_ev_per_atom": -5.48, "vol_a3_per_cell": 131, "crystal_system": "trigonal", "lattice": [[-2.5995, -0.2501, -2.6886], [3.3964, -1.4932, -0.5323], [-3.4234, -9.2743, 4.1728]], "species": ["Er", "Ho", "I", "I", "N"], "fractional_positions": [[0.0000, 0.0000, 0.6160], [0.6667, 0.3333, 0.3838], [0.0000, 0.0000, 0.1831], [0.6667, 0.3333, 0.8156], [0.3333, 0.6667, 0.5014]]}

=====

Record 5
{"formula": "HoErPI2", "functional": "PBE-GGA", "state": "optimized geometry", "dft_energy_ev_per_atom": -5.04, "vol_a3_per_cell": 155, "crystal_system": "trigonal", "lattice": [[-2.0771, 1.6779, -3.0823], [-1.5416, -3.2083, 1.9901], [-4.9022, 6.6500, 6.9234]], "species": ["Er", "Ho", "I", "I", "P"], "fractional_positions": [[0.0000, 0.0000, 0.8637], [0.3333, 0.6667, 0.1363], [0.0000, 0.0000, 0.3264], [0.3333, 0.6667, 0.6747], [0.6667, 0.3333, 0.9989]]}

=====

Record 6
{"formula": "HoErSbI2", "functional": "PBE-GGA", "state": "optimized geometry", "dft_energy_ev_per_atom": -4.50, "vol_a3_per_cell": 178, "crystal_system": "trigonal", "lattice": [[-1.1907, -3.6842, -1.8834], [3.7936, 1.7880, -0.9744], [4.8147, -5.7475, 8.1990]], "species": ["Er", "Ho", "I", "I", "Sb"], "fractional_positions": [[0.0000, 0.0000, 0.8499], [0.3333, 0.6667, 0.1504], [0.0000, 0.0000, 0.3246], [0.3333, 0.6667, 0.6760], [0.6667, 0.3333, 0.9992]]}

=====

Record 7
{"formula": "Ho2Er2SiI5", "functional": "PBE-GGA", "state": "optimized geometry", "dft_energy_ev_per_atom": -4.28, "vol_a3_per_cell": 337, "crystal_system": "monoclinic", "lattice": [[-1.0006, 0.8156, 9.6488], [-0.4560, -3.2868, 9.1518], [8.5601, 1.2728, -1.1258]], "species": ["Er", "Er", "Ho", "Ho", "I", "I", "I", "I", "I", "Si"], "fractional_positions": [[0.6440, 0.6440, 0.0732], [0.3560, 0.3560, 0.9268], [0.0002, 0.0002, 0.2091], [0.9998, 0.9998, 0.7909], [0.8280, 0.8280, 0.1688], [0.1672, 0.1672, 0.3359], [0.5000, 0.5000, 0.5000], [0.8328, 0.8328, 0.6641], [0.1720, 0.1720, 0.8312], [0.5000, 0.5000, 0.0000]]}

=====

Record 8
{"formula": "Ho2Er2SiI5", "functional": "PBE-GGA", "state": "optimized geometry", "dft_energy_ev_per_atom": -4.28, "vol_a3_per_cell": 336, "crystal_system": "monoclinic", "lattice": [[-3.2571, 8.8299, 2.4205], [-2.2112, 7.2212, 6.1156], [8.4216, 1.4880, -1.7359]], "species": ["Er", "Er", "Ho", "Ho", "I", "I", "I", "I", "I", "Si"], "fractional_positions": [[0.0004, 0.0004, 0.2081], [0.9996, 0.9996, 0.7919], [0.6448, 0.6448, 0.0736], [0.3552, 0.3552, 0.9264], [0.8288, 0.8288, 0.1706], [0.1671, 0.1671, 0.3372], [0.5000, 0.5000, 0.5000], [0.8329, 0.8329, 0.6628], [0.1712, 0.1712, 0.8294], [0.5000, 0.5000, 0.0000]]}

=====

Record 9
{"formula": "HoErIn", "functional": "PBE-GGA", "state": "optimized geometry", "dft_energy_ev_per_atom": -4.31, "vol_a3_per_cell": 165, "relative_energy_ev_per_fu": 0.002, "crystal_system": "hexagonal", "lattice": [[5.3484, 0.0000, 0.0000], [-2.6742, 4.6319, 0.0000], [0.0000, 0.0000, 6.6728]], "species": ["Er", "Er", "Ho", "Ho", "In", "In"], "fractional_positions": [[0.0000, 0.0000, 0.0000], [0.0000, 0.0000, 0.5000], [0.6667, 0.3333, 0.2500], [0.3333, 0.6667, 0.7500], [0.3333, 0.6667, 0.2500], [0.6667, 0.3333, 0.7500]]}

=====

Record 10
{"formula": "HoErIn", "functional": "PBE-GGA", "state": "optimized geometry", "dft_energy_ev_per_atom": -4.31, "vol_a3_per_cell": 165, "relative_energy_ev_per_fu": 0.000, "crystal_system": "hexagonal", "lattice": [[-1.6832, -0.3223, 5.0673], [5.1662, -0.7671, -1.1562], [1.1478, 6.5293, 0.7965]], "species": ["Er", "Er", "Ho", "Ho", "In", "In"], "fractional_positions": [[0.0000, 0.0000, 0.0000], [0.3333, 0.6667, 0.5000], [0.6667, 0.3333, 0.2505], [0.6667, 0.3333, 0.7495], [0.3333, 0.6667, 0.0000], [0.0000, 0.0000, 0.5000]]}

=====

Record 11
{"formula": "Ho5ErIn3", "functional": "PBE-GGA", "state": "optimized geometry", "dft_energy_ev_per_atom": -4.31, "vol_a3_per_cell": 498, "crystal_system": "hexagonal", "lattice": [[-1.5998, 3.9906, -8.2237], [-7.0110, -1.4168, 5.9121], [1.0703, 6.0155, 2.7109]], "species": ["Er", "Er", "Ho", "Ho", "Ho", "Ho", "Ho", "Ho", "Ho", "Ho", "Ho", "Ho", "In", "In", "In", "In", "In", "In"], "fractional_positions": [[0.0000, 0.0000, 0.0000], [0.0000, 0.0000, 0.5000], [0.6667, 0.3333, 0.0000], [0.3333, 0.6667, 0.0000], [0.6669, 0.0000, 0.2500], [0.3331, 0.3331, 0.2500], [0.0000, 0.6669, 0.2500], [0.6667, 0.3333, 0.5000], [0.3333, 0.6667, 0.5000], [0.3331, 0.0000, 0.7500], [0.0000, 0.3331, 0.7500], [0.6669, 0.6669, 0.7500], [0.3332, 0.0000, 0.2500], [0.0000, 0.3332, 0.2500], [0.6668, 0.6668, 0.2500], [0.6668, 0.0000, 0.7500], [0.3332, 0.3332, 0.7500], [0.0000, 0.6668, 0.7500]]}

=====

Record 12
{"formula": "HoErIn2", "functional": "PBE-GGA", "state": "optimized geometry", "dft_energy_ev_per_atom": -4.06, "vol_a3_per_cell": 110, "crystal_system": "orthorhombic", "lattice": [[-3.2726, 0.6824, -2.6733], [-1.8504, -5.7842, 0.7887], [-3.7392, -2.9984, 3.8119]], "species": ["Er", "Ho", "In", "In"], "fractional_positions": [[0.0000, 0.6380, 0.6380], [0.5000, 0.3619, 0.3619], [0.5000, 0.0872, 0.0872], [0.0000, 0.9129, 0.9129]]}

=====

Record 13
{"formula": "HoErIn5", "functional": "PBE-GGA", "state": "optimized geometry", "dft_energy_ev_per_atom": -3.55, "vol_a3_per_cell": 185, "crystal_system": "tetragonal", "lattice": [[-0.2916, 1.9970, -4.2026], [-4.4848, 1.0011, 0.7868], [2.2609, 7.4644, 3.3900]], "species": ["Er", "Ho", "In", "In", "In", "In", "In"], "fractional_positions": [[0.0000, 0.0000, 0.5000], [0.0000, 0.0000, 0.0000], [0.5000, 0.5000, 0.0000], [0.5000, 0.0000, 0.2643], [0.0000, 0.5000, 0.2643], [0.5000, 0.0000, 0.7357], [0.0000, 0.5000, 0.7357]]}

=====

Record 14
{"formula": "Ho3ErIn2", "functional": "PBE-GGA", "state": "optimized geometry", "dft_energy_ev_per_atom": -4.31, "vol_a3_per_cell": 166, "crystal_system": "hexagonal", "lattice": [[-2.8628, 3.8634, 2.3559], [1.8276, -4.1196, 2.8914], [5.6180, 3.3862, 1.2736]], "species": ["Er", "Ho", "Ho", "Ho", "In", "In"], "fractional_positions": [[0.0000, 0.0000, 0.0000], [0.3333, 0.6667, 0.2493], [0.6667, 0.3333, 0.5000], [0.3333, 0.6667, 0.7507], [0.6667, 0.3333, 0.0000], [0.0000, 0.0000, 0.5000]]}

=====

Record 15
{"formula": "HoErIn", "functional": "PBE-GGA", "state": "optimized geometry", "dft_energy_ev_per_atom": -4.05, "vol_a3_per_cell": 96, "relative_energy_ev_per_fu": 0.790, "crystal_system": "cubic", "lattice": [[4.9012, -0.3271, 1.5160], [2.3671, 4.1242, 1.9531], [1.1589, 0.1682, 5.0055]], "species": ["Er", "Ho", "In"], "fractional_positions": [[0.2500, 0.2500, 0.2500], [0.7500, 0.7500, 0.7500], [0.0000, 0.0000, 0.0000]]}

=====

Record 16
{"formula": "HoErIn2Ir4", "functional": "PBE-GGA", "state": "optimized geometry", "dft_energy_ev_per_atom": -6.70, "vol_a3_per_cell": 159, "crystal_system": "hexagonal", "lattice": [[4.5512, 0.0000, 0.0000], [-2.2756, 3.9414, 0.0000], [0.0000, 0.0000, 8.8564]], "species": ["Er", "Ho", "In", "In", "Ir", "Ir", "Ir", "Ir"], "fractional_positions": [[0.0000, 0.0000, 0.0000], [0.3333, 0.6667, 0.5000], [0.6667, 0.3333, 0.2499], [0.6667, 0.3333, 0.7501], [0.3333, 0.6667, 0.1441], [0.0000, 0.0000, 0.3548], [0.0000, 0.0000, 0.6452], [0.3333, 0.6667, 0.8559]]}

=====

Record 17
{"formula": "HoEr2In3Ir2", "functional": "PBE-GGA", "state": "optimized geometry", "dft_energy_ev_per_atom": -5.61, "vol_a3_per_cell": 181, "crystal_system": "orthorhombic", "lattice": [[-1.9086, 2.4373, 1.8965], [-3.4771, -5.6272, 3.7325], [6.4545, 2.9409, 2.7161]], "species": ["Er", "Er", "Ho", "In", "In", "In", "Ir", "Ir"], "fractional_positions": [[0.5000, 0.4220, 0.0000], [0.5000, 0.0000, 0.4220], [0.5000, 0.5780, 0.5780], [0.0000, 0.7654, 0.0000], [0.0000, 0.2345, 0.2345], [0.0000, 0.0000, 0.7654], [0.0000, 0.6667, 0.3332], [0.0000, 0.3332, 0.6667]]}

=====

Record 18
{"formula": "Ho2ErIn3Ir2Pd", "functional": "PBE-GGA", "state": "optimized geometry", "dft_energy_ev_per_atom": -5.74, "vol_a3_per_cell": 192, "crystal_system": "orthorhombic", "lattice": [[3.8431, 0.0000, 0.0000], [0.0000, 6.5643, 3.7986], [0.0000, -6.5643, 3.7986]], "species": ["Er", "Ho", "Ho", "In", "In", "In", "Ir", "Ir", "Pd"], "fractional_positions": [[0.0000, 0.5898, 0.5898], [0.0000, 0.9998, 0.4104], [0.0000, 0.4104, 0.9998], [0.5000, 0.2609, 0.2609], [0.5000, 0.9996, 0.7395], [0.5000, 0.7395, 0.9996], [0.5000, 0.6665, 0.3342], [0.5000, 0.3342, 0.6665], [0.0000, 0.9994, 0.9994]]}

=====

Record 19
{"formula": "HoEr2In3Ir2Pd", "functional": "PBE-GGA", "state": "optimized geometry", "dft_energy_ev_per_atom": -5.74, "vol_a3_per_cell": 192, "crystal_system": "orthorhombic", "lattice": [[3.8406, 0.0000, 0.0000], [0.0000, 6.5869, 3.7933], [0.0000, -6.5869, 3.7933]], "species": ["Er", "Er", "Ho", "In", "In", "In", "Ir", "Ir", "Pd"], "fractional_positions": [[0.0000, 0.9998, 0.5897], [0.0000, 0.5897, 0.9998], [0.0000, 0.4105, 0.4105], [0.5000, 0.9996, 0.2608], [0.5000, 0.7395, 0.7395], [0.5000, 0.2608, 0.9996], [0.5000, 0.6675, 0.3332], [0.5000, 0.3332, 0.6675], [0.0000, 0.9995, 0.9995]]}

=====

Record 20
{"formula": "HoErLu2In2", "functional": "PBE-GGA", "state": "optimized geometry", "dft_energy_ev_per_atom": -4.28, "vol_a3_per_cell": 161, "crystal_system": "hexagonal", "lattice": [[5.2908, 0.0000, 0.0000], [-2.6454, 4.5819, 0.0000], [0.0000, 0.0000, 6.6316]], "species": ["Er", "Ho", "In", "In", "Lu", "Lu"], "fractional_positions": [[0.0000, 0.0000, 0.0000], [0.3333, 0.6667, 0.5000], [0.3333, 0.6667, 0.0000], [0.0000, 0.0000, 0.5000], [0.6667, 0.3333, 0.2495], [0.6667, 0.3333, 0.7505]]}